# 1
Computed, not measured: La2TlCd2 after structural relaxation at the GGA-PBEsol level of DFT.

Summary:
- Space-group type: No. 139
- Energy relative to the elements: -140 meV per atom

Unit cell a=3.925 b=3.925 c=10.023 alpha=101.29 beta=101.29 gamma=90.00
Positions (direct):
Tl (0.000, 0.000, 0.000)
La (0.399, 0.399, 0.797)
La (0.601, 0.601, 0.203)
Cd (0.750, 0.250, 0.500)
Cd (0.250, 0.750, 0.500)

---

# 2
Computed, not measured: BaMgP2S after structural relaxation at the GGA-PBEsol level of DFT.

Summary:
- Raw formation energy: -324 meV per atom
- Space-group type: No. 123

Unit cell a=4.850 b=4.850 c=4.983 alpha=90.00 beta=90.00 gamma=90.00
Positions (direct):
P (0.500, 0.000, 0.000)
P (0.000, 0.500, 0.000)
S (0.000, 0.000, 0.500)
Ba (0.500, 0.500, 0.500)
Mg (0.000, 0.000, 0.000)

---

# 3
Computed, not measured: ScNbAsBr2 after structural relaxation at the GGA-PBEsol level of DFT.

Summary:
- Raw formation energy: 39 meV per atom
- Space-group type: No. 123

Unit cell a=5.005 b=5.005 c=5.107 alpha=90.00 beta=90.00 gamma=90.00
Positions (direct):
Nb (0.000, 0.000, 0.000)
Br (0.000, 0.500, 0.000)
Br (0.500, 0.000, 0.000)
As (0.000, 0.000, 0.500)
Sc (0.500, 0.500, 0.500)

---

# 4
Computed, not measured: BeSbAs2 after structural relaxation at the GGA-PBEsol level of DFT.

Summary:
- Energy above the most stable polymorph in this dataset: 0.0 kJ per mole of atoms
- Raw formation energy: 57 meV per atom
- Space-group type: No. 6

Unit cell a=3.918 b=3.969 c=5.745 alpha=90.00 beta=96.73 gamma=90.00
Positions (direct):
Sb (0.190, 0.500, 0.761)
Be (0.589, 0.000, 0.252)
As (0.661, 0.500, 0.431)
As (0.060, 0.000, 0.056)

---

# 5
Computed, not measured: BaNiRu after structural relaxation at the GGA-PBEsol level of DFT.

Summary:
- Space-group type: No. 216
- Energy relative to the elements: 1131 meV per atom

Unit cell a=4.544 b=4.544 c=4.544 alpha=60.00 beta=60.00 gamma=60.00
Positions (direct):
Ru (0.000, 0.000, 0.000)
Ba (0.500, 0.500, 0.500)
Ni (0.250, 0.250, 0.250)

---

# 6
Computed, not measured: LaCu2Ir after structural relaxation at the GGA-PBEsol level of DFT.

Summary:
- Energy above the most stable polymorph in this dataset: 20.7 kJ per mole of atoms
- Space-group type: No. 44
- Energy relative to the elements: 33 meV per atom

Unit cell a=4.100 b=4.128 c=4.970 alpha=114.53 beta=114.36 gamma=90.00
Positions (direct):
Cu (0.002, 0.002, 0.004)
Cu (0.745, 0.245, 0.491)
Ir (0.501, 0.501, 0.001)
La (0.252, 0.752, 0.503)

---

# 7
Computed, not measured: InCuRh after structural relaxation at the GGA-PBEsol level of DFT.

Summary:
- Energy above the most stable polymorph in this dataset: 22.8 kJ per mole of atoms
- Space-group type: No. 216
- Energy relative to the elements: 114 meV per atom

Unit cell a=4.228 b=4.228 c=4.228 alpha=60.00 beta=60.00 gamma=60.00
Positions (direct):
In (0.500, 0.500, 0.500)
Cu (0.000, 0.000, 0.000)
Rh (0.250, 0.250, 0.250)

---

# 8
Computed, not measured: Pr3Ni2Sn7 after structural relaxation at the GGA-PBEsol level of DFT.

Summary:
- Space-group type: No. 65
- Energy relative to the elements: -647 meV per atom

Unit cell a=4.541 b=4.568 c=13.790 alpha=80.47 beta=90.00 gamma=90.00
Positions (direct):
Ni (0.500, 0.372, 0.256)
Ni (0.500, 0.628, 0.744)
Pr (0.500, 0.500, 0.000)
Pr (0.000, 0.185, 0.631)
Pr (0.000, 0.815, 0.369)
Sn (0.500, 0.910, 0.180)
Sn (0.000, 0.000, 0.000)
Sn (0.000, 0.590, 0.821)
Sn (0.000, 0.410, 0.179)
Sn (0.500, 0.719, 0.563)
Sn (0.500, 0.281, 0.437)
Sn (0.500, 0.090, 0.820)

---

Number 1: mass density 7.9 Mg/m³. Number 2: mass density 3.6 Mg/m³. Number 3: mass density 4.8 Mg/m³. Number 4: mass density 5.3 Mg/m³. Number 5: mass density 7.4 Mg/m³. Number 6: mass density 11.2 Mg/m³. Number 7: mass density 8.7 Mg/m³. Number 8: mass density 8.1 Mg/m³.